First-principles (PBE) data for a relaxed Al6Cr2Ge crystal, as listed in Alexandria.

For the energy of formation, the calculation gives 0.09 eV per atom. The calculation puts the density at 3.9 g/cm3.

The structure belongs to space group C2/c (No. 15); the cell edges are 13.953, 10.459 and 4.110 Å and the angles 90.00°, 103.84° and 90.00°. Symmetry generates all atoms from Al at (0.073, 0.092, 0.089), Al at (0.104, 0.404, 0.267), Al at (0.198, 0.196, 0.703), Cr at (0.247, 0.447, 0.763) and Ge at (0.000, 0.298, 0.750).